Sc4CuSn: relaxed, PBE.

Cell: 6.919 6.665 6.479 Å, 90.00 91.55 90.00°
Fractional coordinates of all 12 atoms:
Sc 0.144 0.167 0.175
Sc 0.144 0.333 0.675
Sc 0.314 0.647 0.131
Sc 0.314 0.853 0.631
Sc 0.686 0.147 0.369
Sc 0.686 0.353 0.869
Sc 0.856 0.667 0.325
Sc 0.856 0.833 0.825
Cu 0.000 0.000 0.500
Cu 0.000 0.500 0.000
Sn 0.500 0.000 0.000
Sn 0.500 0.500 0.500

Properties
energy of formation: -6.32 kJ per mole of atoms
Fermi-level density of states: 14.39 states/eV/cell
energy: -5.6364 eV/atom